First-principles (PBE+U) data for an optimized crystal structure of NaMoPtO4, as listed in Alexandria.

Cell: 5.652 6.022 11.515 Å, 90.00 90.00 90.00°
Space group Imma (No. 74)
Asymmetric unit:
Na1 0.000 0.250 0.166
Mo1 0.000 0.000 0.500
Pt1 0.250 0.250 0.750
O1 0.000 0.034 0.685
O2 0.227 0.250 0.483

DFT total energy: -6.09 eV/atom
N(E_F): 6.51 states/eV/cell
total magnetization: 4.92 μB/cell